# 1
{"formula": "Dy5SnRu4", "functional": "PBE", "state": "optimized geometry", "lattice": [[-0.545, -0.700, 3.303], [-0.783, -3.228, -0.813], [17.310, -4.671, 1.866]], "species": ["Dy", "Dy", "Dy", "Dy", "Dy", "Sn", "Ru", "Ru", "Ru", "Ru"], "frac_coords": [[0.500, 0.500, 0.127], [0.500, 0.500, 0.314], [0.500, 0.500, 0.500], [0.500, 0.500, 0.686], [0.500, 0.500, 0.873], [0.000, 0.000, 0.000], [0.000, 0.000, 0.216], [0.000, 0.000, 0.406], [0.000, 0.000, 0.594], [0.000, 0.000, 0.784]], "volume_a3_per_cell": 210.8, "final_energy_ev_per_atom": -6.832, "ef_ev_per_atom": -0.421}

---

# 2
{"formula": "SnBPt2C", "functional": "PBE", "state": "optimized geometry", "lattice": [[-0.468, 2.599, -2.990], [-1.216, -4.062, -3.341], [-3.859, 0.384, 0.938]], "species": ["C", "B", "Sn", "Pt", "Pt"], "frac_coords": [[0.500, 0.500, 0.500], [0.000, 0.000, 0.000], [0.000, 0.500, 0.000], [0.000, 0.000, 0.500], [0.500, 0.000, 0.000]], "volume_a3_per_cell": 85.9, "final_energy_ev_per_atom": -5.224, "ef_ev_per_atom": 1.173}

---

# 3
{"formula": "CePrErMg", "functional": "PBE", "state": "optimized geometry", "lattice": [[5.566, 0.000, 0.000], [2.783, 4.820, 0.000], [2.783, 1.607, 4.544]], "species": ["Pr", "Mg", "Ce", "Er"], "frac_coords": [[0.750, 0.750, 0.750], [0.000, 0.000, 0.000], [0.250, 0.250, 0.250], [0.500, 0.500, 0.500]], "volume_a3_per_cell": 121.9, "final_energy_ev_per_atom": -4.129, "ef_ev_per_atom": 0.089}

---

# 4
{"formula": "PuPdSeO", "functional": "PBE", "state": "optimized geometry", "lattice": [[-2.492, -1.761, 2.537], [1.029, -3.547, -1.452], [6.372, -0.555, 5.874]], "species": ["Pu", "Pu", "Pd", "Pd", "Se", "Se", "O", "O"], "frac_coords": [[0.500, 0.000, 0.639], [0.000, 0.500, 0.361], [0.500, 0.500, 0.000], [0.000, 0.000, 0.000], [0.000, 0.500, 0.800], [0.500, 0.000, 0.200], [0.000, 0.000, 0.500], [0.500, 0.500, 0.500]], "volume_a3_per_cell": 136.7, "final_energy_ev_per_atom": -8.672, "formation_energy_uncorrected_kcal_per_mol_atoms": -38.7}